Record 1
{
  "formula": "TcP2Cl",
  "functional": "PBE-GGA",
  "state": "relaxed",
  "cell": [[3.0675, 0.0000, 0.0000], [0.0000, 3.5923, 0.0000], [0.0000, 0.0000, 14.4447]],
  "species": ["Tc", "Tc", "P", "P", "P", "P", "Cl", "Cl"],
  "fractional_positions": [[0.0000, 0.0000, 0.0000], [0.5000, 0.5000, 0.5000], [0.0000, 0.0000, 0.5526], [0.0000, 0.5000, 0.6439], [0.5000, 0.0000, 0.1439], [0.5000, 0.5000, 0.0526], [0.0000, 0.5000, 0.3616], [0.5000, 0.0000, 0.8616]],
  "e_form_raw_mev_per_atom": -73,
  "relative_energy_mev_per_atom": 89
}


Record 2
{
  "formula": "TcPCl2",
  "functional": "PBE-GGA",
  "state": "relaxed",
  "cell": [[2.8394, 0.0000, 0.0000], [0.0000, 5.4302, 0.0000], [0.0000, 0.0000, 11.9218]],
  "species": ["Tc", "Tc", "P", "P", "Cl", "Cl", "Cl", "Cl"],
  "fractional_positions": [[0.0000, 0.0000, 0.0000], [0.5000, 0.5000, 0.0000], [0.0000, 0.0000, 0.5000], [0.5000, 0.5000, 0.5000], [0.0000, 0.5000, 0.1600], [0.0000, 0.5000, 0.8400], [0.5000, 0.0000, 0.1600], [0.5000, 0.0000, 0.8400]],
  "e_form_raw_mev_per_atom": 455,
  "relative_energy_mev_per_atom": 899
}


Record 3
{
  "formula": "TcP2Cl",
  "functional": "PBE-GGA",
  "state": "relaxed",
  "cell": [[5.0118, 0.0000, 0.0000], [0.0000, 7.0635, 0.0000], [-2.2128, 0.0000, 3.5201]],
  "species": ["Tc", "Tc", "P", "P", "P", "P", "Cl", "Cl"],
  "fractional_positions": [[0.0000, 0.0000, 0.0000], [0.5000, 0.5000, 0.0000], [0.2500, 0.2500, 0.5000], [0.2500, 0.7500, 0.5000], [0.7500, 0.2500, 0.5000], [0.7500, 0.7500, 0.5000], [0.0000, 0.5000, 0.0000], [0.5000, 0.0000, 0.0000]],
  "e_form_raw_mev_per_atom": 533,
  "relative_energy_mev_per_atom": 694
}


Record 4
{
  "formula": "Tc2PCl",
  "functional": "PBE-GGA",
  "state": "relaxed",
  "cell": [[2.9773, 0.0000, 0.0000], [0.0000, 2.9773, 0.0000], [0.0000, 0.0000, 6.6224]],
  "species": ["Tc", "Tc", "P", "Cl"],
  "fractional_positions": [[0.0000, 0.0000, 0.1980], [0.0000, 0.0000, 0.8020], [0.5000, 0.5000, 0.0000], [0.5000, 0.5000, 0.5000]],
  "e_form_raw_mev_per_atom": 100,
  "relative_energy_mev_per_atom": 171
}


Record 5
{
  "formula": "TcP2Cl",
  "functional": "PBE-GGA",
  "state": "relaxed",
  "cell": [[3.0921, 0.0000, 0.0000], [0.0000, 3.0921, 0.0000], [0.0000, 0.0000, 7.5353]],
  "species": ["Tc", "P", "P", "Cl"],
  "fractional_positions": [[0.0000, 0.0000, 0.0000], [0.0000, 0.0000, 0.6832], [0.5000, 0.5000, 0.8430], [0.5000, 0.5000, 0.2357]],
  "e_form_raw_mev_per_atom": 38,
  "relative_energy_mev_per_atom": 199
}


Record 6
{
  "formula": "TcPCl2",
  "functional": "PBE-GGA",
  "state": "relaxed",
  "cell": [[3.0237, 0.0000, 0.0000], [-1.5119, 2.6186, 0.0000], [0.0000, 0.0000, 32.3553]],
  "species": ["Tc", "Tc", "Tc", "P", "P", "P", "Cl", "Cl", "Cl", "Cl", "Cl", "Cl"],
  "fractional_positions": [[0.0000, 0.0000, 0.0000], [0.3333, 0.6667, 0.6667], [0.6667, 0.3333, 0.3333], [0.0000, 0.0000, 0.5000], [0.3333, 0.6667, 0.1667], [0.6667, 0.3333, 0.8333], [0.0000, 0.0000, 0.3867], [0.0000, 0.0000, 0.6133], [0.3333, 0.6667, 0.0533], [0.3333, 0.6667, 0.2800], [0.6667, 0.3333, 0.7200], [0.6667, 0.3333, 0.9467]],
  "e_form_raw_mev_per_atom": 434,
  "relative_energy_mev_per_atom": 878
}


Record 7
{
  "formula": "TcPCl2",
  "functional": "PBE-GGA",
  "state": "relaxed",
  "cell": [[4.5722, 0.0000, 0.0000], [0.0000, 4.5722, 0.0000], [0.0000, 0.0000, 6.4971]],
  "species": ["Tc", "Tc", "P", "P", "Cl", "Cl", "Cl", "Cl"],
  "fractional_positions": [[0.0000, 0.0000, 0.0000], [0.5000, 0.5000, 0.5000], [0.0000, 0.5000, 0.7500], [0.5000, 0.0000, 0.2500], [0.0000, 0.0000, 0.5000], [0.0000, 0.5000, 0.2500], [0.5000, 0.0000, 0.7500], [0.5000, 0.5000, 0.0000]],
  "e_form_raw_mev_per_atom": 682,
  "relative_energy_mev_per_atom": 1126
}


Record 8
{
  "formula": "TcP2Cl",
  "functional": "PBE-GGA",
  "state": "relaxed",
  "cell": [[3.9906, 0.0000, 0.0000], [0.0000, 3.9906, 0.0000], [0.0000, 0.0000, 7.3507]],
  "species": ["Tc", "Tc", "P", "P", "P", "P", "Cl", "Cl"],
  "fractional_positions": [[0.0000, 0.0000, 0.0000], [0.5000, 0.5000, 0.5000], [0.0000, 0.5000, 0.2500], [0.0000, 0.5000, 0.7500], [0.5000, 0.0000, 0.2500], [0.5000, 0.0000, 0.7500], [0.0000, 0.0000, 0.5000], [0.5000, 0.5000, 0.0000]],
  "e_form_raw_mev_per_atom": 625,
  "relative_energy_mev_per_atom": 786
}